<P>
Density functional theory data (PBE) for a relaxed Ir crystal.

The space group is P6_3/mmc (No. 194) and the conventional cell measures 2.7360, 2.7360 and 8.9057 Å, with angles of 90.00, 90.00 and 120.00 degrees. The inequivalent atoms are Ir at (0.0000, 0.0000, 0.0000) and Ir at (0.3333, 0.6667, 0.2500).

The crystal system is hexagonal.



<Q>
Density functional theory data (PBE) for a relaxed Ir crystal.

The space group is P-1 (No. 2) and the conventional cell measures 2.681, 3.789 and 5.271 Å, with angles of 91.43, 91.94 and 108.26 degrees. The inequivalent atoms are Ir at (0.000, 0.000, 0.000) and Ir at (0.273, 0.536, 0.704).

The crystal system is triclinic.



Pick the least stable structure from those above. Pick: <Q>